[1]
Computed, not measured: a relaxed structure of Hf2ZrOsRu at the PBE-GGA level of DFT.

a b c (Å): 4.8379 4.8687 4.8379
angles (deg): 90.00 90.00 90.00
Last column: nearest neighbours and their distance in Å.
Atoms (fractional coordinates):
Hf  0.0000  0.0000  0.5000  2 Ru 2.42
Hf  0.5000  0.0000  0.0000  2 Ru 2.42
Os  0.5000  0.5000  0.5000  4 Zr 3.42, 8 Hf 3.43
Zr  0.0000  0.5000  0.0000  2 Ru 2.43
Ru  0.0000  0.0000  0.0000  4 Hf 2.42, 2 Zr 2.43

N(E_F): 6.5 states/eV per cell
Mass density: 10.78 g/cm3
Magnetic moment: 0.00 μB/cell
Formation energy from the elements: 0.78 eV/atom
Space group: P4/mmm, No. 123

=====

[2]
Computed, not measured: a relaxed structure of HfOsS at the PBE-GGA level of DFT.

a b c (Å): 3.2337 3.3583 10.5423
angles (deg): 90.00 90.00 118.78
Last column: nearest neighbours and their distance in Å.
Atoms (fractional coordinates):
Os  0.6043  0.2086  0.0000  6 Hf 2.76-2.77
Os  0.2936  0.5872  0.5000  6 S 2.40-2.48
S  0.6078  0.2155  0.3544  3 Os 2.40-2.48, 3 Hf 2.58-2.62
S  0.6078  0.2155  0.6456  3 Os 2.40-2.48, 3 Hf 2.58-2.62
Hf  0.2766  0.5532  0.8112  3 S 2.58-2.62, 3 Os 2.76-2.77
Hf  0.2766  0.5532  0.1888  3 S 2.58-2.62, 3 Os 2.76-2.77

N(E_F): 3.7 states/eV per cell
Mass density: 13.26 g/cm3
Magnetic moment: 0.00 μB/cell
E_form (uncorrected): -0.51 eV per formula unit
Space group: Amm2, No. 38

=====

[3]
Computed, not measured: a relaxed structure of Hf4OsS at the PBE-GGA level of DFT.

a b c (Å): 3.2902 6.3340 11.8546
angles (deg): 93.60 90.00 90.00
Last column: nearest neighbours and their distance in Å.
Atoms (fractional coordinates):
Hf  0.4999  0.1732  0.3535  1 S 2.62, 2 Os 2.68
Hf  0.9999  0.3268  0.1465  1 S 2.62, 2 Os 2.68
Hf  0.5001  0.8268  0.6465  1 S 2.62, 2 Os 2.68
Hf  0.0001  0.6732  0.8535  1 S 2.62, 2 Os 2.68
Hf  0.9996  0.6825  0.3564  1 Os 2.55, 2 S 2.68
Hf  0.4996  0.8175  0.1436  1 Os 2.55, 2 S 2.68
Hf  0.0004  0.3175  0.6436  1 Os 2.55, 2 S 2.68
Hf  0.5004  0.1825  0.8564  1 Os 2.55, 2 S 2.68
Os  0.0000  0.0000  0.5000  6 Hf 2.55-2.68
Os  0.5000  0.5000  0.0000  6 Hf 2.55-2.68
S  0.5000  0.5000  0.5000  6 Hf 2.62-2.68
S  0.0000  0.0000  0.0000  6 Hf 2.62-2.68

N(E_F): 5.9 states/eV per cell
Mass density: 12.61 g/cm3
Magnetic moment: 0.00 μB/cell
E_form (uncorrected): -2.21 eV per formula unit
Space group: C2/m, No. 12

=====

[4]
Computed, not measured: a relaxed structure of HfOs3S at the PBE-GGA level of DFT.

a b c (Å): 4.3727 4.3727 4.3727
angles (deg): 90.00 90.00 90.00
Last column: nearest neighbours and their distance in Å.
Atoms (fractional coordinates):
Hf  0.5000  0.5000  0.5000  12 Os 3.09
S  0.0000  0.0000  0.0000  6 Os 2.19
Os  0.0000  0.5000  0.0000  2 S 2.19
Os  0.0000  0.0000  0.5000  2 S 2.19
Os  0.5000  0.0000  0.0000  2 S 2.19

N(E_F): 5.6 states/eV per cell
Mass density: 15.52 g/cm3
Magnetic moment: 0.00 μB/cell
E_form (uncorrected): 2.93 eV per formula unit
Offset from the most stable computed form: 0.0 meV per atom
Space group: Pm-3m, No. 221

=====

[5]
Computed, not measured: a relaxed structure of Hf8OsS2 at the PBE-GGA level of DFT.

a b c (Å): 5.7883 6.9989 6.9989
angles (deg): 53.34 93.48 93.48
Last column: nearest neighbours and their distance in Å.
Atoms (fractional coordinates):
Hf  0.3246  0.3509  0.8477  2 S 2.61-2.63, 1 Os 2.69
Hf  0.6754  0.1523  0.6491  2 S 2.61-2.63, 1 Os 2.69
Hf  0.1450  0.8145  0.8145  1 Os 2.52, 1 S 2.53
Hf  0.8550  0.1855  0.1855  1 Os 2.52, 1 S 2.53
Hf  0.3246  0.8477  0.3509  2 S 2.61-2.63, 1 Os 2.69
Hf  0.6754  0.6491  0.1523  2 S 2.61-2.63, 1 Os 2.69
Hf  0.8554  0.6012  0.6012  1 S 2.60
Hf  0.1446  0.3988  0.3988  1 S 2.60
Os  0.0000  0.0000  0.0000  6 Hf 2.52-2.69
S  0.5413  0.7405  0.7405  6 Hf 2.53-2.63
S  0.4587  0.2595  0.2595  6 Hf 2.53-2.63

N(E_F): 7.8 states/eV per cell
Mass density: 12.31 g/cm3
Magnetic moment: 0.00 μB/cell
E_form (uncorrected): -4.97 eV per formula unit
Space group: C2/m, No. 12

=====

[6]
Computed, not measured: a relaxed structure of HfOs3S at the PBE-GGA level of DFT.

a b c (Å): 4.8787 4.8787 4.8787
angles (deg): 90.00 90.00 90.00
Last column: nearest neighbours and their distance in Å.
Atoms (fractional coordinates):
Hf  0.0000  0.0000  0.0000  6 Os 2.44
S  0.5000  0.5000  0.5000  12 Os 3.45
Os  0.0000  0.5000  0.0000  2 Hf 2.44
Os  0.0000  0.0000  0.5000  2 Hf 2.44
Os  0.5000  0.0000  0.0000  2 Hf 2.44

N(E_F): 8.6 states/eV per cell
Mass density: 11.17 g/cm3
Magnetic moment: 5.16 μB/cell
E_form (uncorrected): 13.70 eV per formula unit
Offset from the most stable computed form: 2155.3 meV per atom
Space group: Pm-3m, No. 221

=====

[7]
Computed, not measured: a relaxed structure of HfScOs2S at the PBE-GGA level of DFT.

a b c (Å): 4.8639 4.7562 4.8639
angles (deg): 90.00 90.00 90.00
Last column: nearest neighbours and their distance in Å.
Atoms (fractional coordinates):
Sc  0.5000  0.5000  0.5000  8 Os 3.40, 4 S 3.44
Hf  0.0000  0.0000  0.0000  2 S 2.38, 4 Os 2.43
S  0.0000  0.5000  0.0000  2 Hf 2.38
Os  0.0000  0.0000  0.5000  2 Hf 2.43
Os  0.5000  0.0000  0.0000  2 Hf 2.43

N(E_F): 5.1 states/eV per cell
Mass density: 9.39 g/cm3
Magnetic moment: 1.18 μB/cell
E_form (uncorrected): 5.16 eV per formula unit
Space group: P4/mmm, No. 123

=====

[8]
Computed, not measured: a relaxed structure of HfTcOsS2 at the PBE-GGA level of DFT.

a b c (Å): 4.7405 5.1466 4.7405
angles (deg): 90.00 90.00 90.00
Last column: nearest neighbours and their distance in Å.
Atoms (fractional coordinates):
Hf  0.0000  0.0000  0.0000  4 S 2.37, 2 Tc 2.57
S  0.0000  0.0000  0.5000  2 Hf 2.37
S  0.5000  0.0000  0.0000  2 Hf 2.37
Os  0.5000  0.5000  0.5000  4 Tc 3.35, 8 S 3.50
Tc  0.0000  0.5000  0.0000  2 Hf 2.57

N(E_F): 4.8 states/eV per cell
Mass density: 7.62 g/cm3
Magnetic moment: 5.63 μB/cell
E_form (uncorrected): 7.16 eV per formula unit
Space group: P4/mmm, No. 123

=====

[9]
Computed, not measured: a relaxed structure of HfTe2OsS at the PBE-GGA level of DFT.

a b c (Å): 5.0604 4.6512 5.0604
angles (deg): 90.00 90.00 90.00
Last column: nearest neighbours and their distance in Å.
Atoms (fractional coordinates):
Hf  0.0000  0.5000  0.0000  2 S 2.33
S  0.0000  0.0000  0.0000  2 Hf 2.33, 4 Te 2.53
Te  0.0000  0.0000  0.5000  2 S 2.53
Te  0.5000  0.0000  0.0000  2 S 2.53
Os  0.5000  0.5000  0.5000  8 Te 3.44, 4 Hf 3.58

N(E_F): 5.9 states/eV per cell
Mass density: 9.15 g/cm3
Magnetic moment: 0.72 μB/cell
E_form (uncorrected): 5.98 eV per formula unit
Space group: P4/mmm, No. 123

=====

[10]
Computed, not measured: a relaxed structure of HfSbOs3 at the PBE-GGA level of DFT.

a b c (Å): 4.8325 4.8325 4.8325
angles (deg): 90.00 90.00 90.00
Last column: nearest neighbours and their distance in Å.
Atoms (fractional coordinates):
Hf  0.0000  0.0000  0.0000  6 Os 2.42
Os  0.0000  0.5000  0.0000  2 Hf 2.42
Os  0.0000  0.0000  0.5000  2 Hf 2.42
Os  0.5000  0.0000  0.0000  2 Hf 2.42
Sb  0.5000  0.5000  0.5000  12 Os 3.42

N(E_F): 7.2 states/eV per cell
Mass density: 12.82 g/cm3
Magnetic moment: 0.00 μB/cell
E_form (uncorrected): 10.71 eV per formula unit
Offset from the most stable computed form: 326.2 meV per atom
Space group: Pm-3m, No. 221

=====

[11]
Computed, not measured: a relaxed structure of HfSbOs3 at the PBE-GGA level of DFT.

a b c (Å): 4.7410 4.7410 4.7410
angles (deg): 90.00 90.00 90.00
Last column: nearest neighbours and their distance in Å.
Atoms (fractional coordinates):
Hf  0.5000  0.5000  0.5000  12 Os 3.35
Os  0.0000  0.5000  0.0000  2 Sb 2.37
Os  0.0000  0.0000  0.5000  2 Sb 2.37
Os  0.5000  0.0000  0.0000  2 Sb 2.37
Sb  0.0000  0.0000  0.0000  6 Os 2.37

N(E_F): 3.4 states/eV per cell
Mass density: 13.57 g/cm3
Magnetic moment: 0.00 μB/cell
E_form (uncorrected): 9.08 eV per formula unit
Offset from the most stable computed form: 0.0 meV per atom
Space group: Pm-3m, No. 221

=====

[12]
Computed, not measured: a relaxed structure of HfSb2Os at the PBE-GGA level of DFT.

a b c (Å): 4.8204 4.8204 4.8204
angles (deg): 60.00 60.00 60.00
Last column: nearest neighbours and their distance in Å.
Atoms (fractional coordinates):
Hf  0.0000  0.0000  0.0000  8 Sb 2.95
Os  0.5000  0.5000  0.5000  8 Sb 2.95
Sb  0.2500  0.2500  0.2500  4 Os 2.95, 4 Hf 2.95
Sb  0.7500  0.7500  0.7500  4 Os 2.95, 4 Hf 2.95

N(E_F): 6.2 states/eV per cell
Mass density: 12.84 g/cm3
Magnetic moment: 0.00 μB/cell
E_form (uncorrected): 0.96 eV per formula unit
Space group: Fm-3m, No. 225

=====

[13]
Computed, not measured: a relaxed structure of Hf2Sb2Os at the PBE-GGA level of DFT.

a b c (Å): 6.7398 6.7398 4.5862
angles (deg): 90.00 90.00 90.00
Last column: nearest neighbours and their distance in Å.
Atoms (fractional coordinates):
Hf  0.1577  0.6577  0.5000  6 Sb 2.95-3.08, 1 Hf 3.01
Hf  0.6577  0.8423  0.5000  6 Sb 2.95-3.08, 1 Hf 3.01
Hf  0.8423  0.3423  0.5000  6 Sb 2.95-3.08, 1 Hf 3.01
Hf  0.3423  0.1577  0.5000  6 Sb 2.95-3.08, 1 Hf 3.01
Os  0.0000  0.0000  0.0000  4 Sb 2.57
Os  0.5000  0.5000  0.0000  4 Sb 2.57
Sb  0.3522  0.8522  0.0000  2 Os 2.57, 1 Sb 2.82
Sb  0.8522  0.6478  0.0000  2 Os 2.57, 1 Sb 2.82
Sb  0.6478  0.1478  0.0000  2 Os 2.57, 1 Sb 2.82
Sb  0.1478  0.3522  0.0000  2 Os 2.57, 1 Sb 2.82

N(E_F): 1.4 states/eV per cell
Mass density: 12.61 g/cm3
Magnetic moment: 0.00 μB/cell
E_form (uncorrected): 0.05 eV per formula unit
Space group: P4/mbm, No. 127